[1]
VASP calculation (PBE) on a relaxed CsZrBeS4 crystal.

Unit cell a=6.4340 b=5.4606 c=9.6457 alpha=90.00 beta=104.23 gamma=90.00
Space group P2_1/m (No. 11)
Symmetry-distinct sites (fractional):
Cs 0.2393 0.2500 0.0393 [2 per cell]
Zr 0.2565 0.2500 0.5531 [2 per cell]
Be 0.2678 0.7500 0.3485 [2 per cell]
S 0.0075 0.0054 0.3218 [4 per cell]
S 0.4195 0.7500 0.5643 [2 per cell]
S 0.4619 0.7500 0.2112 [2 per cell]

Output
Its formation energy from raw total energies is -111.5 kJ/mol of atoms. Its density of states at the Fermi level is 1.9 states/eV/f.u.


[2]
VASP calculation (PBE) on a relaxed CsBeSb crystal.

Unit cell a=16.2297 b=5.2300 c=6.1610 alpha=90.00 beta=90.00 gamma=90.00
Space group Pnma (No. 62)
Symmetry-distinct sites (fractional):
Cs 0.1369 0.2500 0.0127 [4 per cell]
Be 0.0000 0.0000 0.5000 [4 per cell]
Sb 0.1173 0.7500 0.5172 [4 per cell]

Output
Its formation energy from raw total energies is -9.8 kJ/mol of atoms. Its density of states at the Fermi level is 0.0 states/eV/f.u.


[3]
VASP calculation (PBE) on a relaxed CsBeSb crystal.

Unit cell a=6.3850 b=6.3850 c=8.7689 alpha=90.00 beta=90.00 gamma=120.00
Space group P6_3/mmc (No. 194)
Symmetry-distinct sites (fractional):
Cs 0.3333 0.6667 0.2500 [2 per cell]
Be 0.0000 0.0000 0.2500 [2 per cell]
Sb 0.0000 0.0000 0.0000 [2 per cell]

Output
Its formation energy from raw total energies is 8.5 kJ/mol of atoms. Its density of states at the Fermi level is 0.0 states/eV/f.u.


[4]
VASP calculation (PBE) on a relaxed CsBeSb crystal.

Unit cell a=16.0409 b=4.9997 c=6.4069 alpha=90.00 beta=113.09 gamma=90.00
Space group Cm (No. 8)
Symmetry-distinct sites (fractional):
Cs 0.0000 0.0000 0.0000 [2 per cell]
Cs 0.2069 0.0000 0.7030 [2 per cell]
Be 0.3538 0.2500 0.3517 [4 per cell]
Sb 0.2219 0.5000 0.2162 [2 per cell]
Sb 0.4860 0.0000 0.4877 [2 per cell]

Output
Its formation energy from raw total energies is -9.5 kJ/mol of atoms. Its density of states at the Fermi level is 0.0 states/eV/f.u.


[5]
VASP calculation (PBE) on a relaxed CsBeSb crystal.

Unit cell a=3.7631 b=3.7631 c=13.4871 alpha=90.00 beta=90.00 gamma=90.00
Space group I4mm (No. 107)
Symmetry-distinct sites (fractional):
Cs 0.0000 0.0000 0.0000 [2 per cell]
Be 0.0000 0.0000 0.2457 [2 per cell]
Sb 0.0000 0.0000 0.7252 [2 per cell]

Output
Its formation energy from raw total energies is 26.0 kJ/mol of atoms. Its density of states at the Fermi level is 1.2 states/eV/f.u.


[6]
VASP calculation (PBE) on a relaxed CsBeSb crystal.

Unit cell a=9.0920 b=4.1562 c=11.8077 alpha=90.00 beta=90.00 gamma=90.00
Space group Pnma (No. 62)
Symmetry-distinct sites (fractional):
Cs 0.0075 0.2500 0.1984 [4 per cell]
Be 0.0635 0.7500 0.5028 [4 per cell]
Sb 0.2008 0.2500 0.5380 [4 per cell]

Output
Its formation energy from raw total energies is -21.0 kJ/mol of atoms. Its density of states at the Fermi level is 0.0 states/eV/f.u.


[7]
VASP calculation (PBE) on a relaxed CsBeSb crystal.

Unit cell a=5.2317 b=6.1606 c=8.6644 alpha=69.34 beta=89.96 gamma=90.00
Space group P1 (No. 1)
Symmetry-distinct sites (fractional):
Cs 0.0000 0.0000 0.0000 [1 per cell]
Cs 0.4993 0.7212 0.5471 [1 per cell]
Be 0.2506 0.3604 0.2744 [1 per cell]
Be 0.7510 0.3610 0.2735 [1 per cell]
Sb 0.5000 0.4822 0.0389 [1 per cell]
Sb 0.9994 0.2386 0.5091 [1 per cell]

Output
Its formation energy from raw total energies is -9.8 kJ/mol of atoms. Its density of states at the Fermi level is 0.0 states/eV/f.u.


[8]
VASP calculation (PBE) on a relaxed Cs2BeSb crystal.

Unit cell a=9.0157 b=9.0157 c=9.0157 alpha=90.00 beta=90.00 gamma=90.00
Space group Fm-3m (No. 225)
Symmetry-distinct sites (fractional):
Cs 0.2500 0.2500 0.2500 [8 per cell]
Be 0.0000 0.0000 0.0000 [4 per cell]
Sb 0.0000 0.0000 0.5000 [4 per cell]

Output
Its formation energy from raw total energies is 54.3 kJ/mol of atoms. As for the energy above the most stable polymorph in this dataset: 0.00 eV per formula unit. Its density of states at the Fermi level is 2.8 states/eV/f.u.


[9]
VASP calculation (PBE) on a relaxed CsBeSb crystal.

Unit cell a=4.1468 b=11.7941 c=9.1735 alpha=90.00 beta=90.00 gamma=90.00
Space group Imm2 (No. 44)
Symmetry-distinct sites (fractional):
Cs 0.0000 0.2021 0.0000 [4 per cell]
Be 0.0000 0.0000 0.3899 [2 per cell]
Be 0.0000 0.5000 0.0129 [2 per cell]
Sb 0.0000 0.0000 0.6567 [2 per cell]
Sb 0.0000 0.5000 0.7452 [2 per cell]

Output
Its formation energy from raw total energies is -20.9 kJ/mol of atoms. Its density of states at the Fermi level is 0.0 states/eV/f.u.


[10]
VASP calculation (PBE) on a relaxed CsBeSb crystal.

Unit cell a=5.4336 b=6.5681 c=9.3489 alpha=70.07 beta=89.92 gamma=89.91
Space group P1 (No. 1)
Symmetry-distinct sites (fractional):
Cs 0.0000 0.0000 0.0000 [1 per cell]
Cs 0.4992 0.2153 0.5526 [1 per cell]
Be 0.2616 0.4733 0.0544 [1 per cell]
Be 0.7377 0.4735 0.0546 [1 per cell]
Sb 0.9995 0.3744 0.2612 [1 per cell]
Sb 0.5002 0.5780 0.8360 [1 per cell]

Output
Its formation energy from raw total energies is -1.3 kJ/mol of atoms. Its density of states at the Fermi level is 0.0 states/eV/f.u.


[11]
VASP calculation (PBE) on a relaxed CsBeSb crystal.

Unit cell a=4.1394 b=7.0555 c=7.7971 alpha=104.88 beta=105.35 gamma=90.06
Space group P-1 (No. 2)
Symmetry-distinct sites (fractional):
Cs 0.0943 0.3058 0.1908 [2 per cell]
Be 0.2200 0.9318 0.4390 [2 per cell]
Sb 0.3620 0.1986 0.7250 [2 per cell]

Output
Its formation energy from raw total energies is -23.9 kJ/mol of atoms. Its density of states at the Fermi level is 0.0 states/eV/f.u.


[12]
VASP calculation (PBE) on a relaxed CsBeSb crystal.

Unit cell a=11.6612 b=4.1461 c=9.2421 alpha=90.00 beta=90.00 gamma=90.00
Space group Pnma (No. 62)
Symmetry-distinct sites (fractional):
Cs 0.1998 0.2500 0.0593 [4 per cell]
Be 0.0065 0.2500 0.4387 [4 per cell]
Sb 0.0113 0.2500 0.7036 [4 per cell]

Output
Its formation energy from raw total energies is -21.5 kJ/mol of atoms. Its density of states at the Fermi level is 0.0 states/eV/f.u.


[13]
VASP calculation (PBE) on a relaxed CsBeSb3 crystal.

Unit cell a=6.2522 b=6.2522 c=6.2522 alpha=90.00 beta=90.00 gamma=90.00
Space group Pm-3m (No. 221)
Symmetry-distinct sites (fractional):
Cs 0.0000 0.0000 0.0000 [1 per cell]
Be 0.5000 0.5000 0.5000 [1 per cell]
Sb 0.0000 0.0000 0.5000 [3 per cell]

Output
Its formation energy from raw total energies is 196.4 kJ/mol of atoms. As for the energy above the most stable polymorph in this dataset: 8.88 eV per formula unit. Its density of states at the Fermi level is 6.8 states/eV/f.u.


[14]
VASP calculation (PBE) on a relaxed CsBeSb3 crystal.

Unit cell a=5.2700 b=5.2700 c=5.2700 alpha=90.00 beta=90.00 gamma=90.00
Space group Pm-3m (No. 221)
Symmetry-distinct sites (fractional):
Cs 0.0000 0.0000 0.0000 [1 per cell]
Be 0.5000 0.5000 0.5000 [1 per cell]
Sb 0.0000 0.5000 0.5000 [3 per cell]

Output
Its formation energy from raw total energies is 25.0 kJ/mol of atoms. As for the energy above the most stable polymorph in this dataset: 0.00 eV per formula unit. Its density of states at the Fermi level is 2.8 states/eV/f.u.


[15]
VASP calculation (PBE) on a relaxed Cs2BeSb crystal.

Unit cell a=5.3030 b=5.3030 c=24.8608 alpha=90.00 beta=90.00 gamma=90.00
Space group I-42d (No. 122)
Symmetry-distinct sites (fractional):
Cs 0.2359 0.2500 0.1250 [8 per cell]
Be 0.0000 0.0000 0.0000 [4 per cell]
Sb 0.0000 0.0000 0.5000 [4 per cell]

Output
Its formation energy from raw total energies is 74.6 kJ/mol of atoms. As for the energy above the most stable polymorph in this dataset: 0.84 eV per formula unit. Its density of states at the Fermi level is 2.2 states/eV/f.u.


[16]
VASP calculation (PBE) on a relaxed CsScBe2Sb crystal.

Unit cell a=4.8891 b=4.8891 c=5.5665 alpha=90.00 beta=90.00 gamma=90.00
Space group P4/mmm (No. 123)
Symmetry-distinct sites (fractional):
Cs 0.0000 0.0000 0.0000 [1 per cell]
Sc 0.0000 0.0000 0.5000 [1 per cell]
Be 0.0000 0.5000 0.0000 [2 per cell]
Sb 0.5000 0.5000 0.5000 [1 per cell]

Output
Its formation energy from raw total energies is 187.7 kJ/mol of atoms. Its density of states at the Fermi level is 3.8 states/eV/f.u.


[17]
VASP calculation (PBE) on a relaxed Cs2BeSbSe4 crystal.

Unit cell a=6.2748 b=14.8991 c=25.3685 alpha=90.00 beta=90.00 gamma=90.00
Space group Fddd (No. 70, origin choice 2)
Symmetry-distinct sites (fractional):
Cs 0.1250 0.1250 0.3049 [16 per cell]
Be 0.1250 0.1250 0.6250 [8 per cell]
Sb 0.1250 0.1250 0.1250 [8 per cell]
Se 0.0872 0.2865 0.8212 [32 per cell]

Output
Its formation energy from raw total energies is -70.7 kJ/mol of atoms. Its density of states at the Fermi level is 5.0 states/eV/f.u.


[18]
VASP calculation (PBE) on a relaxed Cs2BeSbSe crystal.

Unit cell a=6.9068 b=6.9068 c=5.5166 alpha=90.00 beta=90.00 gamma=90.00
Space group P4/mmm (No. 123)
Symmetry-distinct sites (fractional):
Cs 0.0000 0.5000 0.0000 [2 per cell]
Be 0.0000 0.0000 0.5000 [1 per cell]
Sb 0.5000 0.5000 0.5000 [1 per cell]
Se 0.5000 0.5000 0.0000 [1 per cell]

Output
Its formation energy from raw total energies is 27.2 kJ/mol of atoms. Its density of states at the Fermi level is 4.4 states/eV/f.u.


[19]
VASP calculation (PBE) on a relaxed CsBeSb2Te crystal.

Unit cell a=6.4448 b=6.4448 c=6.5362 alpha=90.00 beta=90.00 gamma=90.00
Space group P4/mmm (No. 123)
Symmetry-distinct sites (fractional):
Cs 0.0000 0.0000 0.0000 [1 per cell]
Be 0.5000 0.5000 0.5000 [1 per cell]
Sb 0.0000 0.5000 0.0000 [2 per cell]
Te 0.0000 0.0000 0.5000 [1 per cell]

Output
Its formation energy from raw total energies is 178.8 kJ/mol of atoms. As for the energy above the most stable polymorph in this dataset: 8.55 eV per formula unit. Its density of states at the Fermi level is 7.3 states/eV/f.u.


[20]
VASP calculation (PBE) on a relaxed CsBeSbTe3 crystal.

Unit cell a=10.5705 b=4.3196 c=10.7654 alpha=90.00 beta=111.62 gamma=90.00
Space group P2_1/m (No. 11)
Symmetry-distinct sites (fractional):
Cs 0.2406 0.2500 0.2003 [2 per cell]
Be 0.3974 0.7500 0.9225 [2 per cell]
Sb 0.1331 0.2500 0.6639 [2 per cell]
Te 0.1501 0.7500 0.8708 [2 per cell]
Te 0.1616 0.7500 0.4664 [2 per cell]
Te 0.4661 0.2500 0.8316 [2 per cell]

Output
Its formation energy from raw total energies is -44.7 kJ/mol of atoms.


[21]
VASP calculation (PBE) on a relaxed CsBeSb2Te crystal.

Unit cell a=5.1615 b=5.1615 c=5.6432 alpha=90.00 beta=90.00 gamma=90.00
Space group P4/mmm (No. 123)
Symmetry-distinct sites (fractional):
Cs 0.0000 0.0000 0.0000 [1 per cell]
Be 0.5000 0.5000 0.5000 [1 per cell]
Sb 0.0000 0.5000 0.5000 [2 per cell]
Te 0.5000 0.5000 0.0000 [1 per cell]

Output
Its formation energy from raw total energies is 13.8 kJ/mol of atoms. As for the energy above the most stable polymorph in this dataset: 0.00 eV per formula unit. Its density of states at the Fermi level is 3.4 states/eV/f.u.


[22]
VASP calculation (PBE) on a relaxed Cs2BeSbTe4 crystal.

Unit cell a=6.8542 b=15.5412 c=25.7486 alpha=90.00 beta=90.00 gamma=90.00
Space group Fddd (No. 70, origin choice 2)
Symmetry-distinct sites (fractional):
Cs 0.1250 0.1250 0.3099 [16 per cell]
Be 0.1250 0.1250 0.6250 [8 per cell]
Sb 0.1250 0.1250 0.1250 [8 per cell]
Te 0.0915 0.2855 0.8148 [32 per cell]

Output
Its formation energy from raw total energies is -49.4 kJ/mol of atoms. Its density of states at the Fermi level is 3.9 states/eV/f.u.


[23]
VASP calculation (PBE) on a relaxed CsBeSbTe2 crystal.

Unit cell a=5.5710 b=5.5710 c=4.9406 alpha=90.00 beta=90.00 gamma=90.00
Space group P4/mmm (No. 123)
Symmetry-distinct sites (fractional):
Cs 0.0000 0.0000 0.0000 [1 per cell]
Be 0.5000 0.5000 0.5000 [1 per cell]
Sb 0.5000 0.5000 0.0000 [1 per cell]
Te 0.0000 0.5000 0.5000 [2 per cell]

Output
Its formation energy from raw total energies is 1.6 kJ/mol of atoms. As for the energy above the most stable polymorph in this dataset: 0.00 eV per formula unit. Its density of states at the Fermi level is 3.4 states/eV/f.u.


[24]
VASP calculation (PBE) on a relaxed CsBeSbTe2 crystal.

Unit cell a=7.4734 b=7.4734 c=8.1002 alpha=90.00 beta=90.00 gamma=90.00
Space group P4/mmm (No. 123)
Symmetry-distinct sites (fractional):
Cs 0.0000 0.0000 0.0000 [1 per cell]
Be 0.5000 0.5000 0.5000 [1 per cell]
Sb 0.0000 0.0000 0.5000 [1 per cell]
Te 0.0000 0.5000 0.0000 [2 per cell]

Output
Its formation energy from raw total energies is 153.0 kJ/mol of atoms. As for the energy above the most stable polymorph in this dataset: 7.84 eV per formula unit. Its density of states at the Fermi level is 9.9 states/eV/f.u.


[25]
VASP calculation (PBE) on a relaxed Cs2TiBeSb crystal.

Unit cell a=7.3281 b=7.3281 c=4.3612 alpha=90.00 beta=90.00 gamma=90.00
Space group P4/mmm (No. 123)
Symmetry-distinct sites (fractional):
Cs 0.0000 0.5000 0.0000 [2 per cell]
Ti 0.0000 0.0000 0.5000 [1 per cell]
Be 0.5000 0.5000 0.0000 [1 per cell]
Sb 0.5000 0.5000 0.5000 [1 per cell]

Output
Its formation energy from raw total energies is 75.2 kJ/mol of atoms. Its density of states at the Fermi level is 6.0 states/eV/f.u.


| no. | DFT total energy (eV/atom) |
| --- | --- |
| 1 | -5.390 |
| 2 | -3.002 |
| 3 | -2.813 |
| 4 | -2.999 |
| 5 | -2.632 |
| 6 | -3.119 |
| 7 | -3.002 |
| 8 | -1.827 |
| 9 | -3.117 |
| 10 | -2.915 |
| 11 | -3.148 |
| 12 | -3.124 |
| 13 | -1.354 |
| 14 | -3.130 |
| 15 | -1.615 |
| 16 | -1.807 |
| 17 | -3.669 |
| 18 | -2.327 |
| 19 | -1.340 |
| 20 | -3.484 |
| 21 | -3.051 |
| 22 | -3.277 |
| 23 | -2.980 |
| 24 | -1.411 |
| 25 | -2.711 |